1.
Material: TmMgScS4
Method: DFT, GGA-PBE
State: relaxed

The formation energy without anion corrections is -1.8396 eV per atom. Its crystal system is orthorhombic.

It has space group Imma (No. 74), with a = 7.6427 Å, b = 7.7447 Å, c = 10.8811 Å, α = 90.00°, β = 90.00° and γ = 90.00°. The asymmetric unit holds Tm at (0.0000, 0.0000, 0.0000), Mg at (0.0000, 0.2500, 0.3743), Sc at (0.2500, 0.2500, 0.7500), S at (0.0000, 0.0190, 0.7524) and S at (0.2426, 0.2500, 0.9888).

***

2.
Material: Tm4MgScS8
Method: DFT, GGA-PBE
State: relaxed

The formation energy without anion corrections is -1.8932 eV per atom. Its crystal system is trigonal.

It has space group R3m (No. 160, hexagonal axes), with a = 7.8569 Å, b = 7.8569 Å, c = 18.9686 Å, α = 90.00°, β = 90.00° and γ = 120.00°. The asymmetric unit holds Tm at (0.0000, 0.0000, 0.0000), Tm at (0.0068, 0.5034, 0.1237), Mg at (0.0000, 0.0000, 0.2470), Sc at (0.0000, 0.0000, 0.6195), S at (0.0000, 0.0000, 0.3774), S at (0.0000, 0.0000, 0.8653), S at (0.0277, 0.5138, 0.3732) and S at (0.1749, 0.3498, 0.2066).

***

3.
Material: MgScWS4
Method: DFT, GGA-PBE
State: relaxed

The formation energy without anion corrections is -1.0787 eV per atom. Its crystal system is orthorhombic.

It has space group Imma (No. 74), with a = 7.5102 Å, b = 7.5766 Å, c = 10.2451 Å, α = 90.00°, β = 90.00° and γ = 90.00°. The asymmetric unit holds Mg at (0.0000, 0.2500, 0.1271), Sc at (0.2500, 0.2500, 0.7500), W at (0.0000, 0.0000, 0.5000), S at (0.0000, 0.0173, 0.7426) and S at (0.2188, 0.2500, 0.4970).

***

4.
Material: Y2MgScS
Method: DFT, GGA-PBE
State: relaxed

The formation energy without anion corrections is -0.7254 eV per atom. Its crystal system is tetragonal.

It has space group P4/mmm (No. 123), with a = 5.2447 Å, b = 5.2447 Å, c = 4.8819 Å, α = 90.00°, β = 90.00° and γ = 90.00°. The asymmetric unit holds Y at (0.0000, 0.5000, 0.0000), Mg at (0.0000, 0.0000, 0.5000), Sc at (0.5000, 0.5000, 0.5000) and S at (0.5000, 0.5000, 0.0000).

***

5.
Material: YMgScS4
Method: DFT, GGA-PBE
State: relaxed

The formation energy without anion corrections is -1.8304 eV per atom. Its crystal system is orthorhombic.

It has space group Imma (No. 74), with a = 7.6693 Å, b = 7.8050 Å, c = 10.9472 Å, α = 90.00°, β = 90.00° and γ = 90.00°. The asymmetric unit holds Y at (0.0000, 0.0000, 0.0000), Mg at (0.0000, 0.2500, 0.3742), Sc at (0.2500, 0.2500, 0.7500), S at (0.0000, 0.0202, 0.7504) and S at (0.2459, 0.2500, 0.9874).

***

6.
Material: Mg2SeS
Method: DFT, GGA-PBE
State: relaxed

The formation energy without anion corrections is -1.3248 eV per atom. Its crystal system is trigonal. Its energy above the most stable polymorph in this dataset is 0.008 eV/atom.

It has space group R-3m (No. 166, hexagonal axes), with a = 3.7962 Å, b = 3.7962 Å, c = 18.6025 Å, α = 90.00°, β = 90.00° and γ = 120.00°. The asymmetric unit holds Mg at (0.0000, 0.0000, 0.2467), Se at (0.0000, 0.0000, 0.0000) and S at (0.0000, 0.0000, 0.5000).

***

7.
Material: MgSeS2
Method: DFT, GGA-PBE
State: relaxed

The formation energy without anion corrections is 0.2366 eV per atom. Its crystal system is trigonal. Its energy above the most stable polymorph in this dataset is 0.689 eV/atom.

It has space group R-3m (No. 166, hexagonal axes), with a = 3.7413 Å, b = 3.7413 Å, c = 23.8023 Å, α = 90.00°, β = 90.00° and γ = 120.00°. The asymmetric unit holds Mg at (0.0000, 0.0000, 0.0000), Se at (0.0000, 0.0000, 0.5000) and S at (0.0000, 0.0000, 0.1051).

***

8.
Material: MgSeS6
Method: DFT, GGA-PBE
State: relaxed

The formation energy without anion corrections is -0.1171 eV per atom. Its crystal system is triclinic.

It has space group P-1 (No. 2), with a = 5.8066 Å, b = 6.0960 Å, c = 7.0269 Å, α = 79.90°, β = 66.61° and γ = 62.10°. The asymmetric unit holds Mg at (0.0000, 0.0000, 0.0000), Se at (0.5000, 0.0000, 0.0000), S at (0.1116, 0.3698, 0.8811), S at (0.3156, 0.8336, 0.6248) and S at (0.3354, 0.2177, 0.3531).